Entry 1:
This record from the Alexandria database describes crystalline Pm7Ho4Er at its relaxed geometry. The functional is GGA-PBE.

Values from the calculation:
For the formation energy from the elements, the calculation gives 4 meV per atom. The calculation puts the density of states at the Fermi level at 15.00 states/eV per cell. The calculation puts the calculated volume at 32.976 A^3/atom.

Cell: 6.284 7.247 8.937 Å, 89.98 76.47 89.97°
Sites, in units of the cell vectors:
1 Pm 0.000 0.000 0.000
2 Pm 0.221 0.500 0.335
3 Pm 0.279 0.751 0.666
4 Pm 0.499 0.248 0.999
5 Pm 0.501 0.752 0.001
6 Pm 0.721 0.249 0.334
7 Pm 0.779 0.500 0.665
8 Ho 0.220 0.000 0.335
9 Ho 0.278 0.248 0.667
10 Ho 0.722 0.752 0.333
11 Ho 0.780 0.000 0.665
12 Er 0.000 0.500 0.000


Entry 2:
This record from the Alexandria database describes crystalline ErMn10Be2 at its relaxed geometry. The functional is GGA-PBE.

Values from the calculation:
For the formation energy from the elements, the calculation gives -35 meV per atom. The calculation puts the density of states at the Fermi level at 23.97 states/eV per cell. The calculation puts the calculated volume at 11.655 A^3/atom.

Cell: 6.209 6.209 7.922 Å, 90.00 90.00 97.17°
Sites, in units of the cell vectors:
1 Er 0.126 0.874 0.750
2 Er 0.874 0.126 0.250
3 Mn 0.127 0.382 0.750
4 Mn 0.168 0.832 0.098
5 Mn 0.168 0.832 0.402
6 Mn 0.224 0.224 0.000
7 Mn 0.224 0.224 0.500
8 Mn 0.247 0.487 0.250
9 Mn 0.382 0.127 0.250
10 Mn 0.394 0.606 0.569
11 Mn 0.394 0.606 0.931
12 Mn 0.487 0.247 0.750
13 Mn 0.513 0.753 0.250
14 Mn 0.606 0.394 0.069
15 Mn 0.606 0.394 0.431
16 Mn 0.618 0.873 0.750
17 Mn 0.753 0.513 0.750
18 Mn 0.776 0.776 0.000
19 Mn 0.776 0.776 0.500
20 Mn 0.832 0.168 0.598
21 Mn 0.832 0.168 0.902
22 Mn 0.873 0.618 0.250
23 Be 0.000 0.500 0.000
24 Be 0.000 0.500 0.500
25 Be 0.500 0.000 0.000
26 Be 0.500 0.000 0.500


Entry 3:
This record from the Alexandria database describes crystalline BaTlSn at its relaxed geometry. The functional is GGA-PBE.

Values from the calculation:
For the formation energy from the elements, the calculation gives -328 meV per atom. The calculation puts the density of states at the Fermi level at 0.80 states/eV per cell. The calculation puts the calculated volume at 40.781 A^3/atom.

Cell: 5.572 5.572 5.572 Å, 60.00 60.00 60.00°
Sites, in units of the cell vectors:
1 Ba 0.000 0.000 0.000
2 Tl 0.500 0.500 0.500
3 Sn 0.250 0.250 0.250


Entry 4:
This record from the Alexandria database describes crystalline ZnSb2IBr at its relaxed geometry. The functional is GGA-PBE.

Values from the calculation:
The calculation puts the density of states at the Fermi level at 4.32 states/eV per cell. The calculation puts the calculated volume at 45.825 A^3/atom. As for the formation energy (no corrections): 0.86 eV/atom.

Cell: 5.534 5.534 7.481 Å, 90.00 90.00 90.00°
Sites, in units of the cell vectors:
1 Zn 0.000 0.000 0.000
2 Sb 0.000 0.500 0.500
3 Sb 0.500 0.000 0.500
4 I 0.500 0.500 0.000
5 Br 0.500 0.500 0.500


Entry 5:
This record from the Alexandria database describes crystalline NiTe2I at its relaxed geometry. The functional is GGA-PBE.

Values from the calculation:
The calculation puts the density of states at the Fermi level at 2.45 states/eV per cell. The calculation puts the calculated volume at 27.994 A^3/atom. As for the formation energy (no corrections): -0.16 eV/atom.

Cell: 7.190 7.190 9.585 Å, 120.28 120.28 32.07°
Sites, in units of the cell vectors:
1 Ni 0.126 0.126 0.317
2 Ni 0.874 0.874 0.683
3 Te 0.342 0.342 0.490
4 Te 0.383 0.383 0.868
5 Te 0.617 0.617 0.132
6 Te 0.658 0.658 0.510
7 I 0.092 0.092 0.776
8 I 0.908 0.908 0.224


Entry 6:
This record from the Alexandria database describes crystalline ZnAsCl at its relaxed geometry. The functional is GGA-PBE.

Values from the calculation:
The calculation puts the density of states at the Fermi level at 1.93 states/eV per cell. The calculation puts the calculated volume at 25.224 A^3/atom. As for the formation energy (no corrections): -0.13 eV/atom.

Cell: 8.364 7.937 3.460 Å, 84.78 70.90 24.32°
Sites, in units of the cell vectors:
1 Zn 0.000 0.000 0.000
2 As 0.631 0.631 0.369
3 Cl 0.391 0.391 0.609


> Which value of calculated volume does entry 1 give?

32.976 A^3/atom


> Look up the calculated volume of the fifth one.

27.994 A^3/atom